[1]
AcPuAsPt: optimized geometry, PBE-GGA.

Unit cell a=5.2386 b=5.2386 c=5.2386 alpha=60.00 beta=60.00 gamma=60.00
Closest atoms and distances in Å follow each position.
Element x y z (fractional)
1 Ac 0.5000 0.5000 0.5000  4 As 3.21, 4 Pt 3.21
2 As 0.2500 0.2500 0.2500  4 Ac 3.21, 4 Pu 3.21
3 Pt 0.7500 0.7500 0.7500  4 Ac 3.21, 4 Pu 3.21
4 Pu 0.0000 0.0000 0.0000  4 Pt 3.21, 4 As 3.21

Results
volume: 102 Å³/cell
ΔH_f (0 K): -3.4 eV per formula unit

***

[2]
PmZn2GaIr: optimized geometry, PBE-GGA.

Unit cell a=4.0085 b=4.1656 c=6.2573 alpha=109.44 beta=108.68 gamma=90.00
Closest atoms and distances in Å follow each position.
Element x y z (fractional)
1 Pm 0.4447 0.4447 0.8893  8 Zn 3.14-3.46, 4 Ga 3.17, 4 Ir 3.39-3.51
2 Zn 0.6939 0.1939 0.3877  2 Zn 2.53, 2 Ga 2.56
3 Zn 0.0554 0.0554 0.1108  2 Zn 2.53, 1 Ga 2.53, 2 Ir 2.57
4 Ga 0.8275 0.8275 0.6551  2 Ir 2.52, 3 Zn 2.53-2.56
5 Ir 0.1907 0.6907 0.3813  2 Ga 2.52, 2 Zn 2.57

Results
volume: 93 Å³/cell
ΔH_f (0 K): -2.1 eV per formula unit

***

[3]
SmGa2NiRu: optimized geometry, PBE-GGA.

Unit cell a=4.1849 b=4.1849 c=5.8748 alpha=110.87 beta=110.87 gamma=90.00
Closest atoms and distances in Å follow each position.
Element x y z (fractional)
1 Sm 0.0000 0.0000 0.0000  8 Ga 3.23, 4 Ru 3.29, 4 Ni 3.29
2 Ga 0.6276 0.6276 0.2552  2 Ru 2.43, 2 Ni 2.43, 1 Ga 2.59
3 Ga 0.3724 0.3724 0.7448  2 Ni 2.43, 2 Ru 2.43, 1 Ga 2.59
4 Ni 0.7500 0.2500 0.5000  4 Ga 2.43
5 Ru 0.2500 0.7500 0.5000  4 Ga 2.43

Results
volume: 89 Å³/cell
ΔH_f (0 K): -2.5 eV per formula unit

***

[4]
Al2CrH: optimized geometry, PBE-GGA.

Unit cell a=4.2579 b=4.2579 c=4.2579 alpha=60.00 beta=60.00 gamma=60.00
Closest atoms and distances in Å follow each position.
Element x y z (fractional)
1 Cr 0.5000 0.5000 0.5000  8 Al 2.61
2 Al 0.2500 0.2500 0.2500  4 Cr 2.61, 4 H 2.61
3 Al 0.7500 0.7500 0.7500  4 Cr 2.61, 4 H 2.61
4 H 0.0000 0.0000 0.0000  8 Al 2.61

Results
volume: 55 Å³/cell
energy above the lowest structure with this stoichiometry: 511.7 meV per atom

***

[5]
LiTl2: optimized geometry, PBE-GGA.

Unit cell a=9.4634 b=9.4634 c=9.4634 alpha=60.00 beta=60.00 gamma=60.00
Closest atoms and distances in Å follow each position.
Element x y z (fractional)
1 Li 0.7108 0.7108 0.8677  6 Tl 2.92-3.12, 3 Li 3.25
2 Li 0.7108 0.7108 0.2108  6 Tl 2.92-3.12, 3 Li 3.25
3 Li 0.7108 0.3677 0.2108  6 Tl 2.92-3.12, 3 Li 3.25
4 Li 0.3677 0.7108 0.2108  6 Tl 2.92-3.12, 3 Li 3.25
5 Li 0.2892 0.2892 0.1323  6 Tl 2.92-3.12, 3 Li 3.25
6 Li 0.2892 0.2892 0.7892  6 Tl 2.92-3.12, 3 Li 3.25
7 Li 0.2892 0.6323 0.7892  6 Tl 2.92-3.12, 3 Li 3.25
8 Li 0.6323 0.2892 0.7892  6 Tl 2.92-3.12, 3 Li 3.25
9 Tl 0.0000 0.5000 0.0000  6 Li 2.92
10 Tl 0.5000 0.0000 0.0000  6 Li 2.92
11 Tl 0.5000 0.5000 0.0000  6 Li 2.92
12 Tl 0.5000 0.5000 0.5000  6 Li 2.92
13 Tl 0.9377 0.9377 0.8123  4 Li 3.12-3.44, 2 Tl 3.45
14 Tl 0.9377 0.3123 0.8123  4 Li 3.12-3.44, 2 Tl 3.45
15 Tl 0.3123 0.9377 0.8123  4 Li 3.12-3.44, 2 Tl 3.45
16 Tl 0.9377 0.3123 0.4377  4 Li 3.12-3.44, 2 Tl 3.45
17 Tl 0.3123 0.9377 0.4377  4 Li 3.12-3.44, 2 Tl 3.45
18 Tl 0.3123 0.3123 0.4377  4 Li 3.12-3.44, 2 Tl 3.45
19 Tl 0.0623 0.0623 0.1877  4 Li 3.12-3.44, 2 Tl 3.45
20 Tl 0.0623 0.6877 0.1877  4 Li 3.12-3.44, 2 Tl 3.45
21 Tl 0.6877 0.0623 0.1877  4 Li 3.12-3.44, 2 Tl 3.45
22 Tl 0.0623 0.6877 0.5623  4 Li 3.12-3.44, 2 Tl 3.45
23 Tl 0.6877 0.0623 0.5623  4 Li 3.12-3.44, 2 Tl 3.45
24 Tl 0.6877 0.6877 0.5623  4 Li 3.12-3.44, 2 Tl 3.45

Results
volume: 599 Å³/cell
energy above the lowest structure with this stoichiometry: 11.9 meV per atom
ΔH_f (0 K): -0.4 eV per formula unit

***

[6]
PrTm3Se6: optimized geometry, PBE-GGA.

Unit cell a=4.3383 b=8.6375 c=8.6375 alpha=109.86 beta=90.00 gamma=90.00
Closest atoms and distances in Å follow each position.
Element x y z (fractional)
1 Pr 0.0000 0.5000 0.5000  4 Se 3.04
2 Tm 0.5000 0.5000 0.0000  6 Se 2.83-2.85
3 Tm 0.0000 0.0000 0.0000  4 Se 2.69
4 Tm 0.5000 0.0000 0.5000  6 Se 2.83-2.85
5 Se 0.0000 0.0792 0.3296  3 Tm 2.69-2.83
6 Se 0.0000 0.9208 0.6704  3 Tm 2.69-2.83
7 Se 0.0000 0.3296 0.0792  3 Tm 2.69-2.83
8 Se 0.0000 0.6704 0.9208  3 Tm 2.69-2.83
9 Se 0.5000 0.6507 0.3493  2 Tm 2.85, 2 Pr 3.04
10 Se 0.5000 0.3493 0.6507  2 Tm 2.85, 2 Pr 3.04

Results
volume: 304 Å³/cell
energy above the lowest structure with this stoichiometry: 282.1 meV per atom
energy relative to the elements, uncorrected: -153.9 kJ per mole of atoms

***

[7]
MgBe2Mo: optimized geometry, PBE-GGA.

Unit cell a=3.8099 b=2.8512 c=4.9322 alpha=73.33 beta=90.00 gamma=90.00
Closest atoms and distances in Å follow each position.
Element x y z (fractional)
1 Be 0.0000 0.1956 0.9854  2 Be 2.29, 1 Mg 2.52, 4 Mo 2.52
2 Be 0.5000 0.0592 0.2558  2 Be 2.29, 2 Mo 2.55-2.56, 4 Mg 2.55
3 Mo 0.5000 0.7834 0.8072  7 Be 2.52-2.61
4 Mg 0.0000 0.4618 0.4517  7 Be 2.52-2.63

Results
volume: 51 Å³/cell
ΔH_f (0 K): 0.9 eV per formula unit